## NaPr2ReO6 (PBE)

Data for crystalline NaPr2ReO6 at its relaxed geometry.

The value obtained for the formation energy from raw total energies is -2.226 eV per atom. Its total magnetic moment is 0.00 μB per formula unit.

It has space group P4mm (No. 99), with a = 5.4145 Å, b = 5.4145 Å, c = 5.2938 Å, α = 90.00°, β = 90.00° and γ = 90.00°. The asymmetric unit holds Na at (0.0000, 0.0000, 0.0000), Pr at (0.0000, 0.5000, 0.4427), Re at (0.5000, 0.5000, 0.0183), O at (0.0000, 0.0000, 0.5719), O at (0.2721, 0.2721, 0.1796) and O at (0.5000, 0.5000, 0.6771).